1.
EuYCdAu, relaxed, DFT PBE; total DFT energy (no corrections) = -5.758 eV/atom; energy of formation = -0.53 eV/atom; SG = F-43m (216); M_tot = 7.21 μB per formula unit
1.0
-3.5606 -0.9610 3.7963
-2.8048 -4.4878 -0.0771
0.9262 -3.7620 3.6060
Y Cd Au Eu
1 1 1 1
direct
0.7500 0.7500 0.7500 Y
0.0000 0.0000 0.0000 Cd
0.5000 0.5000 0.5000 Au
0.2500 0.2500 0.2500 Eu

2.
Sm4Er5Mg, relaxed, DFT PBE; ΔE to the lowest computed polymorph = 0 meV/atom; total DFT energy (no corrections) = -4.326 eV/atom; energy of formation = 0.00 eV/atom; SG = P4/mmm (123); M_tot = 0.00 μB per formula unit
1.0
-2.9381 0.7824 -1.8861
1.8484 -0.3853 -3.0392
-5.8948 -23.5754 -0.5965
Er Sm Mg
5 4 1
direct
0.5000 0.5000 0.5000 Er
0.5000 0.5000 0.7068 Er
0.5000 0.5000 0.9116 Er
0.5000 0.5000 0.2932 Er
0.5000 0.5000 0.0884 Er
0.0000 0.0000 0.3967 Sm
0.0000 0.0000 0.1895 Sm
0.0000 0.0000 0.6033 Sm
0.0000 0.0000 0.8105 Sm
0.0000 0.0000 0.0000 Mg

The highest M_tot belongs to which entry?
EuYCdAu